Record 1
Material: Pu2GaFe
Method: DFT, PBE-GGA
State: optimized geometry

- Volume: 80 Å³ per cell
- Uncorrected energy: -40.5 eV for the cell shown
- Space group: P4/mmm (123)

Geometry as CIF:
```
data_Pu2GaFe
_cell_length_a 3.6890
_cell_length_b 3.6890
_cell_length_c 5.8565
_cell_angle_alpha 90.00
_cell_angle_beta 90.00
_cell_angle_gamma 90.00
_symmetry_space_group_name_H-M 'P 1'
_symmetry_Int_Tables_number 1
_symmetry_space_group_name_Hall 'P 1'
loop_
_atom_site_label
_atom_site_fract_x
_atom_site_fract_y
_atom_site_fract_z
_atom_site_occupancy
Fe1 0.5000 0.5000 0.0000 1
Ga1 0.5000 0.5000 0.5000 1
Pu1 0.0000 0.0000 0.7559 1
Pu2 0.0000 0.0000 0.2441 1
```

***

Record 2
Material: PmAgGePb
Method: DFT, PBE-GGA
State: optimized geometry

- Volume: 99 Å³ per cell
- Uncorrected energy: -16.7 eV for the cell shown
- Space group: F-43m (216)

Geometry as CIF:
```
data_PmAgGePb
_cell_length_a 5.1947
_cell_length_b 5.1947
_cell_length_c 5.1947
_cell_angle_alpha 60.00
_cell_angle_beta 60.00
_cell_angle_gamma 60.00
_symmetry_space_group_name_H-M 'P 1'
_symmetry_Int_Tables_number 1
_symmetry_space_group_name_Hall 'P 1'
loop_
_atom_site_label
_atom_site_fract_x
_atom_site_fract_y
_atom_site_fract_z
_atom_site_occupancy
Pb1 0.7500 0.7500 0.7500 1
Ge1 0.5000 0.5000 0.5000 1
Ag1 0.0000 0.0000 0.0000 1
Pm1 0.2500 0.2500 0.2500 1
```

***

Record 3
Material: CeTmOsPt
Method: DFT, PBE-GGA
State: optimized geometry

- Volume: 83 Å³ per cell
- Uncorrected energy: -30.1 eV for the cell shown
- Space group: F-43m (216)

Geometry as CIF:
```
data_CeTmOsPt
_cell_length_a 4.8985
_cell_length_b 4.8985
_cell_length_c 4.8985
_cell_angle_alpha 60.00
_cell_angle_beta 60.00
_cell_angle_gamma 60.00
_symmetry_space_group_name_H-M 'P 1'
_symmetry_Int_Tables_number 1
_symmetry_space_group_name_Hall 'P 1'
loop_
_atom_site_label
_atom_site_fract_x
_atom_site_fract_y
_atom_site_fract_z
_atom_site_occupancy
Tm1 0.5000 0.5000 0.5000 1
Os1 0.7500 0.7500 0.7500 1
Ce1 0.0000 0.0000 0.0000 1
Pt1 0.2500 0.2500 0.2500 1
```

***

Record 4
Material: GdDy3O
Method: DFT, PBE-GGA
State: optimized geometry

- Volume: 121 Å³ per cell
- Uncorrected energy: -38.3 eV for the cell shown
- E_form (uncorrected): -1.09 eV per atom
- Space group: Pm-3m (221)

Geometry as CIF:
```
data_GdDy3O
_cell_length_a 4.9399
_cell_length_b 4.9399
_cell_length_c 4.9399
_cell_angle_alpha 90.00
_cell_angle_beta 90.00
_cell_angle_gamma 90.00
_symmetry_space_group_name_H-M 'P 1'
_symmetry_Int_Tables_number 1
_symmetry_space_group_name_Hall 'P 1'
loop_
_atom_site_label
_atom_site_fract_x
_atom_site_fract_y
_atom_site_fract_z
_atom_site_occupancy
Gd1 0.5000 0.5000 0.5000 1
O1 0.0000 0.0000 0.0000 1
Dy1 0.0000 0.5000 0.0000 1
Dy2 0.0000 0.0000 0.5000 1
Dy3 0.5000 0.0000 0.0000 1
```

***

Record 5
Material: Ta2WBr
Method: DFT, PBE-GGA
State: optimized geometry

- Volume: 72 Å³ per cell
- Uncorrected energy: -36.3 eV for the cell shown
- E_form (uncorrected): 0.51 eV per atom
- Space group: R-3m (166)
- Energy relative to the lowest polymorph listed for this composition: 342.2 meV/atom

Geometry as CIF:
```
data_Ta2WBr
_cell_length_a 9.6128
_cell_length_b 9.6128
_cell_length_c 9.6128
_cell_angle_alpha 17.77
_cell_angle_beta 17.77
_cell_angle_gamma 17.77
_symmetry_space_group_name_H-M 'P 1'
_symmetry_Int_Tables_number 1
_symmetry_space_group_name_Hall 'P 1'
loop_
_atom_site_label
_atom_site_fract_x
_atom_site_fract_y
_atom_site_fract_z
_atom_site_occupancy
Br1 0.7500 0.7500 0.7500 1
W1 0.2500 0.2500 0.2500 1
Ta1 0.0022 0.0022 0.0022 1
Ta2 0.4978 0.4978 0.4978 1
```

***

Record 6
Material: K4YAu
Method: DFT, PBE-GGA
State: optimized geometry

- Volume: 281 Å³ per cell
- Uncorrected energy: -10.7 eV for the cell shown
- Space group: F-43m (216)

Geometry as CIF:
```
data_K4YAu
_cell_length_a 7.3517
_cell_length_b 7.3517
_cell_length_c 7.3517
_cell_angle_alpha 60.00
_cell_angle_beta 60.00
_cell_angle_gamma 60.00
_symmetry_space_group_name_H-M 'P 1'
_symmetry_Int_Tables_number 1
_symmetry_space_group_name_Hall 'P 1'
loop_
_atom_site_label
_atom_site_fract_x
_atom_site_fract_y
_atom_site_fract_z
_atom_site_occupancy
K1 0.8780 0.3740 0.3740 1
K2 0.3740 0.3740 0.8780 1
K3 0.3740 0.8780 0.3740 1
K4 0.3740 0.3740 0.3740 1
Y1 0.7500 0.7500 0.7500 1
Au1 0.0000 0.0000 0.0000 1
```

***

Record 7
Material: PuHF
Method: DFT, PBE-GGA
State: optimized geometry

- Volume: 88 Å³ per cell
- Uncorrected energy: -49.6 eV for the cell shown
- Space group: C2/m (12)
- Energy relative to the lowest polymorph listed for this composition: 0.0 meV/atom

Geometry as CIF:
```
data_PuHF
_cell_length_a 3.9002
_cell_length_b 6.9826
_cell_length_c 5.7896
_cell_angle_alpha 145.97
_cell_angle_beta 89.94
_cell_angle_gamma 90.09
_symmetry_space_group_name_H-M 'P 1'
_symmetry_Int_Tables_number 1
_symmetry_space_group_name_Hall 'P 1'
loop_
_atom_site_label
_atom_site_fract_x
_atom_site_fract_y
_atom_site_fract_z
_atom_site_occupancy
H1 0.7509 0.7494 0.2491 1
H2 0.2491 0.2506 0.7509 1
F1 0.7501 0.7499 0.7503 1
F2 0.2499 0.2501 0.2497 1
Pu1 0.2505 0.7504 0.4718 1
Pu2 0.7495 0.2496 0.5282 1
```

***

Record 8
Material: Mg12Sn2Hg5
Method: DFT, PBE-GGA
State: optimized geometry

- Volume: 470 Å³ per cell
- Uncorrected energy: -30.0 eV for the cell shown
- Space group: C2/m (12)

Geometry as CIF:
```
data_Mg12Sn2Hg5
_cell_length_a 6.4236
_cell_length_b 8.6362
_cell_length_c 9.3970
_cell_angle_alpha 102.97
_cell_angle_beta 90.00
_cell_angle_gamma 111.83
_symmetry_space_group_name_H-M 'P 1'
_symmetry_Int_Tables_number 1
_symmetry_space_group_name_Hall 'P 1'
loop_
_atom_site_label
_atom_site_fract_x
_atom_site_fract_y
_atom_site_fract_z
_atom_site_occupancy
Mg1 0.0894 0.1788 0.2830 1
Mg2 0.0559 0.6062 0.8795 1
Mg3 0.5503 0.6062 0.8795 1
Mg4 0.1124 0.7112 0.3999 1
Mg5 0.5988 0.7112 0.3999 1
Mg6 0.4784 0.9568 0.6867 1
Mg7 0.5216 0.0432 0.3133 1
Mg8 0.8876 0.2888 0.6001 1
Mg9 0.4012 0.2888 0.6001 1
Mg10 0.9441 0.3938 0.1205 1
Mg11 0.4497 0.3938 0.1205 1
Mg12 0.9106 0.8212 0.7170 1
Sn1 0.7490 0.0000 0.0000 1
Sn2 0.2510 0.0000 0.0000 1
Hg1 0.2941 0.5881 0.6159 1
Hg2 0.3512 0.7024 0.1396 1
Hg3 0.0000 0.0000 0.5000 1
Hg4 0.6488 0.2976 0.8604 1
Hg5 0.7059 0.4119 0.3841 1
```

***

Record 9
Material: ZnCrPt3
Method: DFT, PBE-GGA
State: optimized geometry

- Volume: 97 Å³ per cell
- Uncorrected energy: -24.6 eV for the cell shown
- Space group: Pm-3m (221)
- Energy relative to the lowest polymorph listed for this composition: 0.0 meV/atom

Geometry as CIF:
```
data_ZnCrPt3
_cell_length_a 4.5960
_cell_length_b 4.5960
_cell_length_c 4.5960
_cell_angle_alpha 90.00
_cell_angle_beta 90.00
_cell_angle_gamma 90.00
_symmetry_space_group_name_H-M 'P 1'
_symmetry_Int_Tables_number 1
_symmetry_space_group_name_Hall 'P 1'
loop_
_atom_site_label
_atom_site_fract_x
_atom_site_fract_y
_atom_site_fract_z
_atom_site_occupancy
Cr1 0.0000 0.0000 0.0000 1
Zn1 0.5000 0.5000 0.5000 1
Pt1 0.0000 0.5000 0.0000 1
Pt2 0.0000 0.0000 0.5000 1
Pt3 0.5000 0.0000 0.0000 1
```

***

Record 10
Material: Cs2Tl4Co
Method: DFT, PBE-GGA
State: optimized geometry

- Volume: 276 Å³ per cell
- Uncorrected energy: -17.8 eV for the cell shown
- Space group: I4/mmm (139)

Geometry as CIF:
```
data_Cs2Tl4Co
_cell_length_a 5.2008
_cell_length_b 5.2008
_cell_length_c 10.8422
_cell_angle_alpha 76.12
_cell_angle_beta 76.12
_cell_angle_gamma 90.00
_symmetry_space_group_name_H-M 'P 1'
_symmetry_Int_Tables_number 1
_symmetry_space_group_name_Hall 'P 1'
loop_
_atom_site_label
_atom_site_fract_x
_atom_site_fract_y
_atom_site_fract_z
_atom_site_occupancy
Cs1 0.6678 0.6678 0.6645 1
Cs2 0.3322 0.3322 0.3355 1
Tl1 0.8745 0.8745 0.2510 1
Tl2 0.1255 0.1255 0.7490 1
Tl3 0.0000 0.5000 0.0000 1
Tl4 0.5000 0.0000 0.0000 1
Co1 0.0000 0.0000 0.0000 1
```

***

Record 11
Material: ScMn2Al
Method: DFT, PBE-GGA
State: optimized geometry

- Volume: 59 Å³ per cell
- Uncorrected energy: -28.5 eV for the cell shown
- Space group: Pm (6)

Geometry as CIF:
```
data_ScMn2Al
_cell_length_a 4.0357
_cell_length_b 2.8246
_cell_length_c 5.4718
_cell_angle_alpha 72.48
_cell_angle_beta 90.00
_cell_angle_gamma 90.00
_symmetry_space_group_name_H-M 'P 1'
_symmetry_Int_Tables_number 1
_symmetry_space_group_name_Hall 'P 1'
loop_
_atom_site_label
_atom_site_fract_x
_atom_site_fract_y
_atom_site_fract_z
_atom_site_occupancy
Sc1 0.0000 0.4788 0.4755 1
Mn1 0.0000 0.0919 0.9973 1
Mn2 0.5000 0.1478 0.2332 1
Al1 0.5000 0.7814 0.7940 1
```

***

Record 12
Material: Ga2Co3Tc
Method: DFT, PBE-GGA
State: optimized geometry

- Volume: 73 Å³ per cell
- Uncorrected energy: -38.7 eV for the cell shown
- Space group: P4/mmm (123)

Geometry as CIF:
```
data_Ga2Co3Tc
_cell_length_a 2.7023
_cell_length_b 2.7023
_cell_length_c 9.9586
_cell_angle_alpha 90.00
_cell_angle_beta 90.00
_cell_angle_gamma 90.00
_symmetry_space_group_name_H-M 'P 1'
_symmetry_Int_Tables_number 1
_symmetry_space_group_name_Hall 'P 1'
loop_
_atom_site_label
_atom_site_fract_x
_atom_site_fract_y
_atom_site_fract_z
_atom_site_occupancy
Ga1 0.5000 0.5000 0.8389 1
Ga2 0.5000 0.5000 0.1611 1
Co1 0.0000 0.0000 0.0000 1
Co2 0.0000 0.0000 0.6735 1
Co3 0.0000 0.0000 0.3265 1
Tc1 0.5000 0.5000 0.5000 1
```